Here is a relaxed LiCaIn2Rh crystal from the Alexandria database. Energies are from PBE.

abc: 5.122 5.122 4.814
angles: 90.00 90.00 90.00
Sites, in units of the cell vectors:
Ca 0.500 0.500 0.500
Li 0.000 0.000 0.500
Rh 0.000 0.000 0.000
In 0.000 0.500 0.000
In 0.500 0.000 0.000

Output
**D(E_F)**: 3.0 states/eV/f.u.
**Calculated formation energy**: -252 meV/atom
**SG**: P4/mmm